A relaxed structure of Sm2ThHg. Source: Alexandria via LeMat-Bulk, functional PBE.

Geometry as extended XYZ:
```
4
Lattice="3.6579 0.0000 0.0000 0.0000 3.6579 0.0000 0.0000 0.0000 8.9098" Properties=species:S:1:pos:R:3 pbc="T T T"
Sm 0.0000 0.0000 6.8668
Sm 0.0000 0.0000 2.0430
Hg 1.8289 1.8289 0.0000
Th 1.8289 1.8289 4.4549
```

Summary:
ΔE to the lowest computed polymorph in meV per atom: 0
Energy in eV for the cell shown: -18.1
Theoretical density in Mg/m³: 10.21
ΔE_f in eV/atom: -0.24
Symmetry: P4/mmm